No. 1
## LiHo4Ir3 (PBE)

Data for a relaxed LiHo4Ir3 crystal.

Computed properties:
**Raw total energy**: -105.1 eV per cell
**Calculated formation energy**: -69 kJ per mole of atoms
**DOS(E_F)**: 12.58 states/eV/cell

a = 4.8652 Å, b = 4.8652 Å, c = 13.8301 Å
α = 90.00°, β = 90.00°, γ = 90.00°
Last column: nearest neighbours and their distance in Å.
Space group I4/mmm (No. 139)
Symmetry-distinct sites (fractional):
Li 0.0000 0.0000 0.0000 [2 per cell]  8 Ho 3.02, 2 Ir 3.34
Ho 0.0000 0.5000 0.1291 [8 per cell]  6 Ir 2.89-3.02, 2 Li 3.02
Ir 0.0000 0.0000 0.2416 [4 per cell]  8 Ho 2.89-3.02
Ir 0.0000 0.0000 0.5000 [2 per cell]  8 Ho 3.02

***

No. 2
## LiHo3Ir8 (PBE)

Data for a relaxed LiHo3Ir8 crystal.

Computed properties:
**Raw total energy**: -283.1 eV per cell
**Calculated formation energy**: -63 kJ per mole of atoms
**DOS(E_F)**: 38.25 states/eV/cell

a = 5.3099 Å, b = 5.3099 Å, c = 26.0309 Å
α = 90.00°, β = 90.00°, γ = 120.00°
Last column: nearest neighbours and their distance in Å.
Space group R3m (No. 160, hexagonal axes)
Symmetry-distinct sites (fractional):
Li 0.0000 0.0000 0.0000 [3 per cell]  12 Ir 3.04-3.15, 4 Ho 3.17-3.19
Ho 0.0000 0.0000 0.3675 [3 per cell]  12 Ir 3.01-3.17, 3 Li 3.19, 1 Ho 3.35
Ho 0.0000 0.0000 0.4962 [3 per cell]  12 Ir 3.11-3.13, 4 Ho 3.32-3.35
Ho 0.0000 0.0000 0.8783 [3 per cell]  12 Ir 3.03-3.27, 1 Li 3.17, 3 Ho 3.32
Ir 0.0000 0.0000 0.1844 [3 per cell]  6 Ir 2.66
Ir 0.0000 0.0000 0.6841 [3 per cell]  6 Ir 2.64-2.66
Ir 0.1671 0.3342 0.2679 [9 per cell]  6 Ir 2.64-2.66
Ir 0.1671 0.3341 0.7674 [9 per cell]  6 Ir 2.65-2.66

***

Look up the DOS(E_F) of the second one.
38.25 states/eV/cell

***

Look up the DOS(E_F) of the second one.
38.25 states/eV/cell

***

The lowest DOS(E_F) belongs to which entry?
LiHo4Ir3

***

Which value of raw total energy does entry 2 give?
-283.1 eV per cell